Compound: Y2HoTe3
Source: the Open Quantum Materials Database
Functional: PBE
Structure: relaxed

```
data_Y2HoTe3
_symmetry_space_group_name_H-M 'P 1'
_symmetry_Int_Tables_number 1
_cell_length_a 4.351
_cell_length_b 4.351
_cell_length_c 10.670
_cell_angle_alpha 90.00
_cell_angle_beta 90.00
_cell_angle_gamma 120.00
loop_
_symmetry_equiv_pos_as_xyz
'x,y,z'
loop_
_atom_site_label
_atom_site_fract_x
_atom_site_fract_y
_atom_site_fract_z
Y1 0.333 0.667 0.167
Y2 0.667 0.333 0.833
Ho1 0.000 0.000 0.500
Te1 0.000 0.000 0.000
Te2 0.333 0.667 0.665
Te3 0.667 0.333 0.335
```

Calculated values
As for the total energy: -5.776 eV per atom.